# 1
The following is a DFT calculation (PBE) of a relaxed Ca3Mg2 crystal.

Geometry as POSCAR:
```
Ca3Mg2
1.0
2.791 -4.834 0.000
2.791 4.834 0.000
0.000 0.000 6.771
Ca Mg
3 2
Direct
0.333 0.667 0.348
0.667 0.333 0.652
0.000 0.000 0.000
0.667 0.333 0.134
0.333 0.667 0.866
```

Properties
The magnetic moment is 0.0 μB/cell. Its energy above the most stable polymorph in this dataset is 0.40 eV/f.u. Its space group is P-3m1 (164). Its formation energy is 46 meV/atom.

# 2
The following is a DFT calculation (PBE) of a relaxed CaHfAgPt crystal.

Geometry as POSCAR:
```
CaHfAgPt
1.0
-2.312 -4.261 -0.388
1.160 -3.079 -3.581
2.343 -4.139 1.015
Pt Ag Ca Hf
1 1 1 1
Direct
0.750 0.750 0.750
0.250 0.250 0.250
0.000 0.000 0.000
0.500 0.500 0.500
```

Properties
The magnetic moment is 0.0 μB/cell. Its space group is F-43m (216). Its formation energy is -438 meV/atom.

Question: What is the magnetic moment in the first record?
Answer: 0.0 μB/cell

Question: Look up the magnetic moment of the first one.
Answer: 0.0 μB/cell